This record from Alexandria describes an optimized crystal structure of AlCr2HgF. The functional is PBE with a Hubbard U.

The structure in extended XYZ format:
```
5
Lattice="5.108 0.000 0.000 0.000 5.108 0.000 0.000 0.000 5.001" Properties=species:S:1:pos:R:3 pbc="T T T"
Al 0.000 0.000 0.000
Cr 0.000 2.554 0.000
Cr 2.554 0.000 0.000
Hg 0.000 0.000 2.501
F 2.554 2.554 2.501
```

Calculated values
Its space-group type is P4/mmm. The calculation puts the total magnetic moment at 9.32 μB/f.u. The volume is 130.5 Å³/cell. The value obtained for the uncorrected energy is -0.2788 Ry per atom.